Record 1
Compound: Rb2SrRuBr6
Source: the Alexandria database
Functional: PBE
Structure: relaxed

Summary:
space group = Fm-3m (225)
formation energy without anion corrections = -1.2751 eV/atom
M_tot = 0.00 μB/f.u.

Cell: 7.832 7.832 7.832 Å, 60.00 60.00 60.00°
Fractional coordinates of all 10 atoms:
Rb  0.250  0.250  0.250
Rb  0.750  0.750  0.750
Sr  0.000  0.000  0.000
Ru  0.500  0.500  0.500
Br  0.269  0.269  0.731
Br  0.269  0.731  0.269
Br  0.269  0.731  0.731
Br  0.731  0.269  0.269
Br  0.731  0.269  0.731
Br  0.731  0.731  0.269


Record 2
Compound: Rb2TcRuBr6
Source: the Alexandria database
Functional: PBE
Structure: relaxed

Summary:
space group = Fm-3m (225)
formation energy without anion corrections = -0.6095 eV/atom
M_tot = 5.01 μB/f.u.

Cell: 7.509 7.509 7.509 Å, 60.00 60.00 60.00°
Fractional coordinates of all 10 atoms:
Rb  0.250  0.250  0.250
Rb  0.750  0.750  0.750
Tc  0.000  0.000  0.000
Ru  0.500  0.500  0.500
Br  0.256  0.256  0.744
Br  0.256  0.744  0.256
Br  0.256  0.744  0.744
Br  0.744  0.256  0.256
Br  0.744  0.256  0.744
Br  0.744  0.744  0.256